Entry 1:
A plane-wave DFT calculation with GGA-PBE was carried out for a geometry-optimized SbOsAu2 structure.

Structure (extended XYZ):
```
8
Lattice="3.076 0.000 0.000 0.000 4.337 0.000 0.000 0.000 11.794" Properties=species:S:1:pos:R:3 pbc="T T T"
Sb 0.000 0.000 0.000
Sb 1.538 2.168 5.897
Os 0.000 0.000 5.897
Os 1.538 2.168 0.000
Au 0.000 2.168 2.392
Au 0.000 2.168 9.402
Au 1.538 0.000 3.505
Au 1.538 0.000 8.288
```

=====

Entry 2:
A plane-wave DFT calculation with GGA-PBE was carried out for a geometry-optimized SbOs3Au structure.

Structure (extended XYZ):
```
5
Lattice="4.817 0.000 0.000 0.000 4.817 0.000 0.000 0.000 4.817" Properties=species:S:1:pos:R:3 pbc="T T T"
Sb 0.000 0.000 0.000
Os 0.000 0.000 2.409
Os 0.000 2.409 0.000
Os 2.409 0.000 0.000
Au 2.409 2.409 2.409
```

Properties
- Offset from the most stable computed form: 0 meV/atom

=====

Number 1: uncorrected formation energy 0.486 eV per atom, V 157.3 Å³ per cell. Number 2: uncorrected formation energy 2.518 eV per atom, V 111.8 Å³ per cell.